*1*
A plane-wave DFT calculation with PBE-GGA was carried out for AcHg2Se after structural relaxation.

Cell: 4.4388 4.4600 11.8491 Å, 100.74 90.00 90.00°
With the nearest neighbours (Å) after each atom.
Positions (direct):
Ac 0.7500 0.8281 0.6580  5 Se 3.15-3.19, 4 Hg 3.50-3.51
Ac 0.2500 0.1719 0.3420  5 Se 3.15-3.19, 4 Hg 3.50-3.51
Hg 0.7500 0.4443 0.8899  8 Hg 3.15-3.39, 2 Ac 3.50-3.51
Hg 0.2500 0.5557 0.1101  8 Hg 3.15-3.39, 2 Ac 3.50-3.51
Hg 0.2500 0.9452 0.8916  8 Hg 3.15-3.39, 2 Ac 3.51
Hg 0.7500 0.0548 0.1084  8 Hg 3.15-3.39, 2 Ac 3.51
Se 0.2500 0.3058 0.6129  5 Ac 3.15-3.19
Se 0.7500 0.6942 0.3871  5 Ac 3.15-3.19

Computed properties:
Total moment in μB/f.u.: 0.00



*2*
A plane-wave DFT calculation with PBE-GGA was carried out for AcHg2Se after structural relaxation.

Cell: 4.1839 4.1839 9.9396 Å, 77.85 77.85 60.00°
With the nearest neighbours (Å) after each atom.
Positions (direct):
Ac 0.0000 0.0000 0.0000  2 Hg 3.21
Hg 0.1111 0.1111 0.6667  3 Se 2.90, 1 Ac 3.21
Hg 0.8889 0.8889 0.3333  3 Se 2.90, 1 Ac 3.21
Se 0.5000 0.5000 0.5000  6 Hg 2.90

Computed properties:
Total moment in μB/f.u.: 0.00



Taking the most stable structure as the zero point, the relative energies in kJ/mol of atoms are *1* 0.0; *2* 103.4.



*1*
A plane-wave DFT calculation with PBE-GGA was carried out for Ac2HgSe4 after structural relaxation.

Cell: 7.2282 7.2192 8.6078 Å, 90.00 107.37 90.00°
With the nearest neighbours (Å) after each atom.
Positions (direct):
Ac 0.7316 0.7500 0.0607  6 Se 3.10-3.26
Ac 0.2684 0.2500 0.9393  6 Se 3.10-3.26
Ac 0.2698 0.2500 0.4446  6 Se 3.03-3.25
Ac 0.7302 0.7500 0.5554  6 Se 3.03-3.25
Hg 0.2583 0.7500 0.1885  4 Se 2.64-2.68
Hg 0.7417 0.2500 0.8115  4 Se 2.64-2.68
Se 0.5254 0.4803 0.2566  1 Hg 2.68
Se 0.0439 0.7500 0.8798  1 Hg 2.65
Se 0.9561 0.2500 0.1202  1 Hg 2.65
Se 0.5254 0.0197 0.2566  1 Hg 2.68
Se 0.9474 0.2500 0.6046  1 Hg 2.64
Se 0.4746 0.9803 0.7434  1 Hg 2.68
Se 0.4746 0.5197 0.7434  1 Hg 2.68
Se 0.0526 0.7500 0.3954  1 Hg 2.64

Computed properties:
Total moment in μB/f.u.: 0.00



*2*
A plane-wave DFT calculation with PBE-GGA was carried out for Ac2HgSe4 after structural relaxation.

Cell: 4.8403 9.3850 12.0752 Å, 74.22 78.44 75.06°
With the nearest neighbours (Å) after each atom.
Positions (direct):
Ac 0.6231 0.2093 0.5446  7 Se 3.09-3.22
Ac 0.1626 0.4717 0.2030  7 Se 3.03-3.33
Ac 0.8374 0.5283 0.7970  7 Se 3.03-3.33
Ac 0.3769 0.7907 0.4554  7 Se 3.09-3.22
Hg 0.8722 0.0795 0.1761  2 Se 2.48-2.49
Hg 0.1278 0.9205 0.8239  2 Se 2.48-2.49
Se 0.2337 0.1513 0.3814  4 Ac 3.17-3.21
Se 0.7928 0.3492 0.0651  1 Hg 2.49
Se 0.0398 0.1939 0.7264  1 Hg 2.48
Se 0.5740 0.5025 0.3495  4 Ac 3.03-3.15
Se 0.4260 0.4975 0.6505  4 Ac 3.03-3.15
Se 0.9602 0.8061 0.2736  1 Hg 2.48
Se 0.2072 0.6508 0.9349  1 Hg 2.49
Se 0.7663 0.8487 0.6186  4 Ac 3.17-3.21

Computed properties:
Total moment in μB/f.u.: 0.00



Taking the most stable structure as the zero point, the relative energies in kJ/mol of atoms are *1* 9.4; *2* 0.0.